Record 1
Here is crystalline TlMoRhO6 at its relaxed geometry from the Alexandria database. Energies are from PBE+U.

Results
Symmetry: P312 (149)
Calculated total energy in eV/atom: -6.197

Cell and atoms, written as extended XYZ:
```
9
Lattice="5.182 0.000 0.000 -2.591 4.488 0.000 0.000 0.000 4.998" Properties=species:S:1:pos:R:3 pbc="T T T"
Tl 0.000 0.000 0.000
Mo 2.591 1.496 2.499
Rh 0.000 2.992 2.499
O 1.865 0.056 1.389
O 0.981 1.587 3.609
O 3.318 0.056 3.609
O 1.707 2.845 1.389
O 4.201 1.587 1.389
O 3.475 2.845 3.609
```

=====

Record 2
Here is crystalline UMoRhO6 at its relaxed geometry from the Alexandria database. Energies are from PBE+U.

Results
Symmetry: P-31c (163)
Calculated total energy in eV/atom: -8.102

Cell and atoms, written as extended XYZ:
```
18
Lattice="5.408 0.000 0.000 -2.704 4.684 0.000 0.000 0.000 8.809" Properties=species:S:1:pos:R:3 pbc="T T T"
U 0.000 3.122 2.202
U 2.704 1.561 6.607
Mo 0.000 3.122 6.607
Mo 2.704 1.561 2.202
Rh 0.000 0.000 0.000
Rh 0.000 0.000 4.404
O -0.870 1.545 1.108
O -1.801 3.158 3.296
O 0.870 1.545 3.296
O -0.932 4.665 1.108
O 1.773 0.019 5.512
O 0.903 1.526 7.701
O 1.801 3.158 1.108
O 0.932 4.665 3.296
O 3.636 0.019 7.701
O 1.834 3.139 5.512
O 4.506 1.526 5.512
O 3.574 3.139 7.701
```

=====

Record 3
Here is crystalline MoRuO3 at its relaxed geometry from the Alexandria database. Energies are from PBE+U.

Results
Symmetry: Pm-3m (221)
Calculated total energy in eV/atom: -6.586

Cell and atoms, written as extended XYZ:
```
5
Lattice="3.898 0.000 0.000 0.000 3.898 0.000 0.000 0.000 3.898" Properties=species:S:1:pos:R:3 pbc="T T T"
Mo 0.000 0.000 0.000
Ru 1.949 1.949 1.949
O 0.000 1.949 1.949
O 1.949 0.000 1.949
O 1.949 1.949 0.000
```

=====

Record 4
Here is crystalline MoRuO4 at its relaxed geometry from the Alexandria database. Energies are from PBE+U.

Results
Symmetry: I4_1md (109)
Calculated total energy in eV/atom: -7.335

Cell and atoms, written as extended XYZ:
```
12
Lattice="-3.428 3.428 2.905 3.428 -3.428 2.905 3.428 3.428 -2.905" Properties=species:S:1:pos:R:3 pbc="T T T"
Mo 0.000 0.000 0.000
Mo 0.000 3.428 1.452
Ru 3.428 0.000 1.626
Ru 0.000 0.000 3.078
O 2.072 0.000 0.078
O 4.785 0.000 0.078
O 3.428 2.072 -1.374
O 0.000 1.357 1.531
O 1.474 3.428 0.167
O 1.955 0.000 3.072
O 3.428 1.955 1.619
O 0.000 1.474 4.524
```

=====

Record 5
Here is crystalline Mo2RuO at its relaxed geometry from the Alexandria database. Energies are from PBE+U.

Results
Symmetry: I-42d (122)
Calculated total energy in eV/atom: -6.611

Cell and atoms, written as extended XYZ:
```
16
Lattice="6.082 0.000 0.000 0.000 6.082 0.000 0.000 0.000 6.936" Properties=species:S:1:pos:R:3 pbc="T T T"
Mo 1.100 1.520 0.867
Mo 1.520 4.141 2.601
Mo 1.520 4.982 6.069
Mo 1.941 1.520 4.335
Mo 4.141 4.561 4.335
Mo 4.561 1.100 6.069
Mo 4.561 1.941 2.601
Mo 4.982 4.561 0.867
Ru 0.000 0.000 3.468
Ru 0.000 3.041 5.202
Ru 3.041 0.000 1.734
Ru 3.041 3.041 0.000
O 0.000 0.000 0.000
O 0.000 3.041 1.734
O 3.041 0.000 5.202
O 3.041 3.041 3.468
```

=====

Record 6
Here is crystalline MoRuO3 at its relaxed geometry from the Alexandria database. Energies are from PBE+U.

Results
Symmetry: Pm-3m (221)
Calculated total energy in eV/atom: -6.681

Cell and atoms, written as extended XYZ:
```
5
Lattice="3.954 0.000 0.000 0.000 3.954 0.000 0.000 0.000 3.954" Properties=species:S:1:pos:R:3 pbc="T T T"
Mo 0.000 0.000 0.000
Ru 1.977 1.977 1.977
O 0.000 0.000 1.977
O 0.000 1.977 0.000
O 1.977 0.000 0.000
```

=====

- What is the formula in the first record?
  TlMoRhO6

=====

- Number 4 is which compound?
  MoRuO4